1.
BeTc2Rh | PBE | relaxed

Properties
energy of formation from the pure elements = 13 meV/atom
calculated total energy = -63.5 eV for the cell shown
magnetic moment = 0.00 μB per atom

abc: 4.869 8.210 2.678
angles: 90.00 90.18 90.00
Sites, in units of the cell vectors:
Be (0.000, 0.000, 0.000)
Be (0.500, 0.500, 0.000)
Tc (0.250, 0.250, 0.500)
Tc (0.250, 0.750, 0.500)
Tc (0.750, 0.250, 0.500)
Tc (0.750, 0.750, 0.500)
Rh (0.000, 0.500, 0.000)
Rh (0.500, 0.000, 0.000)

***

2.
BeTcRh2 | PBE | relaxed

Properties
energy of formation from the pure elements = 35 meV/atom
calculated total energy = -28.7 eV for the cell shown
magnetic moment = 0.40 μB per atom

abc: 3.865 3.865 3.561
angles: 90.00 90.00 90.00
Sites, in units of the cell vectors:
Be (0.000, 0.000, 0.000)
Tc (0.500, 0.500, 0.000)
Rh (0.000, 0.500, 0.500)
Rh (0.500, 0.000, 0.500)

***

3.
BeTcRh | PBE | relaxed

Properties
energy of formation from the pure elements = 218 meV/atom
calculated total energy = -83.2 eV for the cell shown
polymorph energy (0 for the lowest one) = 529 meV/atom
magnetic moment = 0.00 μB per atom

abc: 5.632 5.632 5.632
angles: 90.00 90.00 90.00
Sites, in units of the cell vectors:
Be (0.000, 0.000, 0.000)
Be (0.000, 0.500, 0.500)
Be (0.500, 0.000, 0.500)
Be (0.500, 0.500, 0.000)
Tc (0.000, 0.000, 0.500)
Tc (0.000, 0.500, 0.000)
Tc (0.500, 0.000, 0.000)
Tc (0.500, 0.500, 0.500)
Rh (0.250, 0.250, 0.250)
Rh (0.250, 0.750, 0.750)
Rh (0.750, 0.250, 0.750)
Rh (0.750, 0.750, 0.250)

***

4.
BeTcRh2 | PBE | relaxed

Properties
energy of formation from the pure elements = -65 meV/atom
calculated total energy = -58.1 eV for the cell shown
magnetic moment = 0.00 μB per atom

abc: 3.648 3.648 7.893
angles: 90.00 90.00 90.00
Sites, in units of the cell vectors:
Be (0.000, 0.000, 0.000)
Be (0.500, 0.500, 0.500)
Tc (0.000, 0.500, 0.250)
Tc (0.500, 0.000, 0.750)
Rh (0.000, 0.000, 0.500)
Rh (0.000, 0.500, 0.750)
Rh (0.500, 0.000, 0.250)
Rh (0.500, 0.500, 0.000)